# Sr5Fe5O14

Sr5Fe5O14 after structural relaxation (GGA+U, Alexandria).

Cell lengths 3.883, 7.878, 19.684 Å; angles 90.00, 90.00, 90.00 degrees
Positions (direct):
Sr 0.000 0.234 0.000
Sr 0.000 0.243 0.202
Sr 0.000 0.243 0.798
Sr 0.000 0.258 0.397
Sr 0.000 0.258 0.603
Sr 0.000 0.742 0.397
Sr 0.000 0.742 0.603
Sr 0.000 0.757 0.202
Sr 0.000 0.757 0.798
Sr 0.000 0.766 0.000
Fe 0.500 0.000 0.100
Fe 0.500 0.000 0.302
Fe 0.500 0.000 0.500
Fe 0.500 0.000 0.698
Fe 0.500 0.000 0.900
Fe 0.500 0.500 0.105
Fe 0.500 0.500 0.300
Fe 0.500 0.500 0.500
Fe 0.500 0.500 0.700
Fe 0.500 0.500 0.895
O 0.000 0.000 0.101
O 0.000 0.000 0.301
O 0.000 0.000 0.699
O 0.000 0.000 0.899
O 0.000 0.500 0.082
O 0.000 0.500 0.300
O 0.000 0.500 0.500
O 0.000 0.500 0.700
O 0.000 0.500 0.918
O 0.500 0.000 0.000
O 0.500 0.000 0.198
O 0.500 0.000 0.405
O 0.500 0.000 0.595
O 0.500 0.000 0.802
O 0.500 0.237 0.500
O 0.500 0.249 0.300
O 0.500 0.249 0.700
O 0.500 0.260 0.094
O 0.500 0.260 0.906
O 0.500 0.500 0.200
O 0.500 0.500 0.399
O 0.500 0.500 0.601
O 0.500 0.500 0.800
O 0.500 0.740 0.094
O 0.500 0.740 0.906
O 0.500 0.751 0.300
O 0.500 0.751 0.700
O 0.500 0.763 0.500

Total energy in eV per atom: -6.402
ρ in g cm⁻³: 5.19
Total moment in μB per formula unit: 21.5

=====

# SrFeO2

SrFeO2 after structural relaxation (GGA+U, Alexandria).

Cell lengths 5.886, 5.886, 5.886 Å; angles 90.00, 90.00, 90.00 degrees
Positions (direct):
Sr 0.000 0.000 0.000
Sr 0.000 0.500 0.500
Sr 0.500 0.000 0.500
Sr 0.500 0.500 0.000
Fe 0.000 0.000 0.500
Fe 0.000 0.500 0.000
Fe 0.500 0.000 0.000
Fe 0.500 0.500 0.500
O 0.250 0.250 0.250
O 0.250 0.250 0.750
O 0.250 0.750 0.250
O 0.250 0.750 0.750
O 0.750 0.250 0.250
O 0.750 0.250 0.750
O 0.750 0.750 0.250
O 0.750 0.750 0.750

Total energy in eV per atom: -5.525
ρ in g cm⁻³: 5.71
Total moment in μB per formula unit: 4.0

=====

# Sr3Fe2O7

Sr3Fe2O7 after structural relaxation (GGA+U, Alexandria).

Cell lengths 10.540, 10.540, 10.540 Å; angles 158.62, 158.62, 30.42 degrees
Positions (direct):
Sr 0.000 0.000 0.000
Sr 0.183 0.183 0.000
Sr 0.817 0.817 0.000
Fe 0.403 0.403 0.000
Fe 0.597 0.597 0.000
O 0.096 0.596 0.500
O 0.306 0.306 0.000
O 0.404 0.904 0.500
O 0.500 0.500 0.000
O 0.596 0.096 0.500
O 0.694 0.694 0.000
O 0.904 0.404 0.500

Total energy in eV per atom: -6.334
ρ in g cm⁻³: 5.19
Total moment in μB per formula unit: 8.1

=====

# Sr4Fe4O11

Sr4Fe4O11 after structural relaxation (GGA+U, Alexandria).

Cell lengths 6.806, 6.806, 5.542 Å; angles 90.00, 90.00, 109.85 degrees
Positions (direct):
Sr 0.000 0.000 0.000
Sr 0.241 0.759 0.500
Sr 0.500 0.500 0.000
Sr 0.759 0.241 0.500
Fe 0.000 0.500 0.000
Fe 0.245 0.245 0.500
Fe 0.500 0.000 0.000
Fe 0.755 0.755 0.500
O 0.000 0.000 0.500
O 0.159 0.401 0.260
O 0.159 0.401 0.740
O 0.226 0.774 0.000
O 0.401 0.159 0.260
O 0.401 0.159 0.740
O 0.599 0.841 0.260
O 0.599 0.841 0.740
O 0.774 0.226 0.000
O 0.841 0.599 0.260
O 0.841 0.599 0.740

Relative energy among the computed polymorphs in meV/atom: 0
ρ in g cm⁻³: 5.16
Total moment in μB per formula unit: 18.0

=====

# Sr2Fe2O5

Sr2Fe2O5 after structural relaxation (GGA+U, Alexandria).

Cell lengths 8.814, 8.814, 8.814 Å; angles 54.40, 141.67, 142.91 degrees
Positions (direct):
Sr 0.019 0.109 0.128
Sr 0.019 0.391 0.411
Sr 0.981 0.609 0.589
Sr 0.981 0.891 0.872
Fe 0.394 0.714 0.180
Fe 0.505 0.005 0.500
Fe 0.505 0.505 0.000
Fe 0.534 0.214 0.820
O 0.007 0.263 0.762
O 0.007 0.745 0.244
O 0.255 0.872 0.883
O 0.469 0.162 0.587
O 0.469 0.382 0.807
O 0.501 0.245 0.238
O 0.501 0.763 0.756
O 0.575 0.662 0.193
O 0.575 0.882 0.413
O 0.989 0.372 0.117

Relative energy among the computed polymorphs in meV/atom: 0
ρ in g cm⁻³: 4.79
Total moment in μB per formula unit: 10.0

=====

# Sr2FeO4

Sr2FeO4 after structural relaxation (GGA+U, Alexandria).

Cell lengths 3.906, 3.906, 12.546 Å; angles 90.00, 90.00, 90.00 degrees
Positions (direct):
Sr 0.000 0.000 0.143
Sr 0.000 0.000 0.857
Sr 0.500 0.500 0.357
Sr 0.500 0.500 0.643
Fe 0.000 0.000 0.500
Fe 0.500 0.500 0.000
O 0.000 0.000 0.342
O 0.000 0.000 0.658
O 0.000 0.500 0.000
O 0.000 0.500 0.500
O 0.500 0.000 0.000
O 0.500 0.000 0.500
O 0.500 0.500 0.158
O 0.500 0.500 0.842

Total energy in eV per atom: -6.317
ρ in g cm⁻³: 5.12
Total moment in μB per formula unit: 4.0

=====

# Sr3Fe2O6

Sr3Fe2O6 after structural relaxation (GGA+U, Alexandria).

Cell lengths 10.473, 10.473, 10.473 Å; angles 158.21, 158.21, 31.01 degrees
Positions (direct):
Sr 0.000 0.000 0.000
Sr 0.180 0.180 0.000
Sr 0.820 0.820 0.000
Fe 0.397 0.397 0.000
Fe 0.603 0.603 0.000
O 0.084 0.584 0.500
O 0.303 0.303 0.000
O 0.416 0.916 0.500
O 0.584 0.084 0.500
O 0.697 0.697 0.000
O 0.916 0.416 0.500

Total energy in eV per atom: -6.429
ρ in g cm⁻³: 4.94
Total moment in μB per formula unit: 10.0

=====

# Sr2Fe2O5

Sr2Fe2O5 after structural relaxation (GGA+U, Alexandria).

Cell lengths 8.904, 8.865, 5.685 Å; angles 71.71, 70.97, 37.32 degrees
Positions (direct):
Sr 0.090 0.625 0.375
Sr 0.375 0.910 0.090
Sr 0.625 0.090 0.910
Sr 0.910 0.375 0.625
Fe 0.000 0.500 0.000
Fe 0.319 0.681 0.681
Fe 0.500 0.000 0.500
Fe 0.681 0.319 0.319
O 0.113 0.668 0.887
O 0.250 0.250 0.250
O 0.260 0.260 0.740
O 0.332 0.887 0.668
O 0.335 0.665 0.335
O 0.665 0.335 0.665
O 0.668 0.113 0.332
O 0.740 0.740 0.260
O 0.750 0.750 0.750
O 0.887 0.332 0.113

Relative energy among the computed polymorphs in meV/atom: 14
ρ in g cm⁻³: 4.76
Total moment in μB per formula unit: 10.0

=====

# SrFeO2

SrFeO2 after structural relaxation (GGA+U, Alexandria).

Cell lengths 3.749, 3.749, 18.156 Å; angles 90.00, 90.00, 120.00 degrees
Positions (direct):
Sr 0.000 0.000 0.000
Sr 0.333 0.667 0.667
Sr 0.667 0.333 0.333
Fe 0.000 0.000 0.500
Fe 0.333 0.667 0.167
Fe 0.667 0.333 0.833
O 0.000 0.000 0.402
O 0.000 0.000 0.598
O 0.333 0.667 0.069
O 0.333 0.667 0.265
O 0.667 0.333 0.735
O 0.667 0.333 0.931

Total energy in eV per atom: -6.133
ρ in g cm⁻³: 3.96
Total moment in μB per formula unit: 4.0

=====

# Sr8Fe8O23

Sr8Fe8O23 after structural relaxation (GGA+U, Alexandria).

Cell lengths 8.766, 8.766, 8.766 Å; angles 101.53, 101.53, 126.89 degrees
Positions (direct):
Sr 0.000 0.252 0.252
Sr 0.000 0.748 0.748
Sr 0.241 0.500 0.741
Sr 0.252 0.000 0.252
Sr 0.500 0.241 0.741
Sr 0.500 0.759 0.259
Sr 0.748 0.000 0.748
Sr 0.759 0.500 0.259
Fe 0.000 0.000 0.500
Fe 0.000 0.500 0.000
Fe 0.245 0.245 0.000
Fe 0.250 0.750 0.500
Fe 0.500 0.000 0.000
Fe 0.500 0.500 0.500
Fe 0.750 0.250 0.500
Fe 0.755 0.755 0.000
O 0.000 0.000 0.000
O 0.000 0.500 0.500
O 0.125 0.625 0.249
O 0.125 0.875 0.500
O 0.162 0.162 0.760
O 0.162 0.402 0.000
O 0.236 0.236 0.472
O 0.236 0.764 0.000
O 0.375 0.625 0.500
O 0.375 0.875 0.751
O 0.402 0.162 0.000
O 0.402 0.402 0.240
O 0.500 0.000 0.500
O 0.598 0.598 0.760
O 0.598 0.838 0.000
O 0.625 0.125 0.249
O 0.625 0.375 0.500
O 0.764 0.236 0.000
O 0.764 0.764 0.528
O 0.838 0.598 0.000
O 0.838 0.838 0.240
O 0.875 0.125 0.500
O 0.875 0.375 0.751

Total energy in eV per atom: -6.395
ρ in g cm⁻³: 5.22
Total moment in μB per formula unit: 35.3

=====

# Sr10Fe10O27

Sr10Fe10O27 after structural relaxation (GGA+U, Alexandria).

Cell lengths 3.857, 7.906, 19.712 Å; angles 90.00, 90.00, 90.00 degrees
Positions (direct):
Sr 0.000 0.234 0.000
Sr 0.000 0.234 0.198
Sr 0.000 0.243 0.799
Sr 0.000 0.251 0.401
Sr 0.000 0.259 0.604
Sr 0.000 0.741 0.604
Sr 0.000 0.749 0.401
Sr 0.000 0.757 0.799
Sr 0.000 0.766 0.000
Sr 0.000 0.766 0.198
Fe 0.500 0.000 0.099
Fe 0.500 0.000 0.302
Fe 0.500 0.000 0.501
Fe 0.500 0.000 0.699
Fe 0.500 0.000 0.900
Fe 0.500 0.500 0.108
Fe 0.500 0.500 0.301
Fe 0.500 0.500 0.500
Fe 0.500 0.500 0.701
Fe 0.500 0.500 0.897
O 0.000 0.000 0.102
O 0.000 0.000 0.302
O 0.000 0.000 0.699
O 0.000 0.000 0.900
O 0.000 0.500 0.088
O 0.000 0.500 0.497
O 0.000 0.500 0.701
O 0.000 0.500 0.922
O 0.500 0.000 0.000
O 0.500 0.000 0.199
O 0.500 0.000 0.406
O 0.500 0.000 0.595
O 0.500 0.000 0.802
O 0.500 0.237 0.500
O 0.500 0.249 0.701
O 0.500 0.259 0.095
O 0.500 0.259 0.906
O 0.500 0.263 0.300
O 0.500 0.500 0.205
O 0.500 0.500 0.395
O 0.500 0.500 0.601
O 0.500 0.500 0.801
O 0.500 0.737 0.300
O 0.500 0.741 0.095
O 0.500 0.741 0.906
O 0.500 0.751 0.701
O 0.500 0.763 0.500

Total energy in eV per atom: -6.416
ρ in g cm⁻³: 5.16
Total moment in μB per formula unit: 42.3

=====

# Sr4FeO6

Sr4FeO6 after structural relaxation (GGA+U, Alexandria).

Cell lengths 6.668, 6.668, 12.140 Å; angles 109.89, 109.89, 58.60 degrees
Positions (direct):
Sr 0.082 0.357 0.845
Sr 0.116 0.884 0.500
Sr 0.190 0.581 0.175
Sr 0.357 0.082 0.345
Sr 0.539 0.795 0.049
Sr 0.581 0.190 0.675
Sr 0.795 0.539 0.549
Sr 0.884 0.116 0.000
Fe 0.177 0.722 0.777
Fe 0.722 0.177 0.277
O 0.192 0.584 0.619
O 0.224 0.964 0.883
O 0.225 0.896 0.145
O 0.401 0.465 0.853
O 0.465 0.401 0.353
O 0.466 0.920 0.516
O 0.584 0.192 0.119
O 0.818 0.867 0.282
O 0.867 0.818 0.782
O 0.896 0.225 0.645
O 0.920 0.466 0.016
O 0.964 0.224 0.383

Total energy in eV per atom: -6.107
ρ in g cm⁻³: 3.93
Total moment in μB per formula unit: 3.9